## SmRe2O8 (PBE-GGA)

Data for a relaxed SmRe2O8 crystal.

Unit cell a=6.855 b=6.855 c=6.855 alpha=60.00 beta=60.00 gamma=60.00
Fractional coordinates of all 11 atoms:
Sm 0.000 0.000 0.000
Re 0.250 0.250 0.250
Re 0.750 0.750 0.750
O 0.145 0.145 0.145
O 0.145 0.145 0.566
O 0.145 0.566 0.145
O 0.434 0.855 0.855
O 0.566 0.145 0.145
O 0.855 0.434 0.855
O 0.855 0.855 0.434
O 0.855 0.855 0.855

Properties
The value obtained for the energy above the most stable polymorph in this dataset is 0 meV per atom. As for the uncorrected formation energy: -2.044 eV/atom. The value obtained for the volume is 20.7 Å³ per atom. For the density of states at the Fermi level, the calculation gives 2.936 states/eV/f.u.